First-principles (PBE) data for TiIrS2Cl after structural relaxation, as listed in Alexandria via LeMat-Bulk.

Structure (CIF):
```
data_TiIrS2Cl
_space_group_name_H-M_alt 'P 4/m m m'
_space_group_IT_number 123
_space_group_name_Hall '-P 4 2'
_cell_length_a 4.727
_cell_length_b 4.727
_cell_length_c 4.552
_cell_angle_alpha 90.00
_cell_angle_beta 90.00
_cell_angle_gamma 90.00
loop_
_atom_site_label
_atom_site_type_symbol
_atom_site_fract_x
_atom_site_fract_y
_atom_site_fract_z
Ti1 Ti 0.000 0.000 0.000
Ir1 Ir 0.500 0.500 0.500
S1 S 0.000 0.500 0.000
Cl1 Cl 0.000 0.000 0.500
```

Output
Total magnetic moment, μB per atom: 0.471
Electronic total energy, eV/atom: -4.990
Energy above the most stable polymorph in this dataset, meV/atom: 5
Crystal system: tetragonal
ΔE_f (raw), eV per formula unit: 1.9